The following is a GGA-PBE calculation of a relaxed structure of PmAlGe2, from Alexandria via LeMat-Bulk.

Results
Calculated density   6.35 g/cm³
M_tot   0.0 μB/f.u.
Excess energy over the best structure of this formula in the dataset   8.5 kJ per mole of atoms

Lattice parameters (Å, degrees): 3.612 3.612 6.355 90.00 90.00 90.00
Sites, in units of the cell vectors:
1 Pm 0.500 0.500 0.500
2 Ge 0.000 0.000 0.201
3 Al 0.500 0.500 0.000
4 Ge 0.000 0.000 0.799